A plane-wave DFT calculation with PBE was carried out for a geometry-optimized TlAgAs2 structure.

As for the formation energy: 315 meV per atom. For the electronic total energy, the calculation gives -3.314 eV/atom. As for the density of states at the Fermi level: 0.445 states/eV/atom. As for the total magnetic moment: 0.0 μB/cell.

The space group is I4/mmm (No. 139) and the conventional cell measures 4.0421, 4.0421 and 10.9714 Å, with angles of 90.00, 90.00 and 90.00 degrees. Symmetry generates all atoms from Tl at (0.0000, 0.0000, 0.0000), Ag at (0.0000, 0.0000, 0.5000) and As at (0.0000, 0.5000, 0.2500).